A plane-wave DFT calculation with PBE+U was carried out for a geometry-optimized AcBeCr2O8 structure.

Results
total energy: -7.054 eV/atom
total moment: 0.083 μB per atom

Lattice parameters (Å, degrees): 5.3097 5.3097 6.6583 90.00 90.00 120.00
Space group P-3 (No. 147)
One atom of each set of equivalent atoms:
Ac 0.0000 0.0000 0.0000 (multiplicity 1)
Be 0.0000 0.0000 0.5000 (multiplicity 1)
Cr 0.3333 0.6667 0.7399 (multiplicity 2)
O 0.1529 0.3133 0.6700 (multiplicity 6)
O 0.3333 0.6667 0.9940 (multiplicity 2)